Below is a relaxed KCuH crystal, with properties calculated at the PBE level.

Properties
DOS at the Fermi energy: 0.1887 states/eV/atom
calculated total energy: -16.704 eV/cell

a = 6.1946 Å, b = 6.1946 Å, c = 4.7977 Å
α = 112.36°, β = 112.36°, γ = 51.33°
Closest atoms and distances in Å follow each position.
Atoms (fractional coordinates):
K  0.1833  0.1833  0.1859  2 H 2.75
K  0.8167  0.8167  0.8141  2 H 2.75
Cu  0.4998  0.4998  0.2504  2 H 1.74
Cu  0.5002  0.5002  0.7496  2 H 1.74
H  0.3758  0.3758  0.8776  2 Cu 1.74
H  0.6242  0.6242  0.1224  2 Cu 1.74

Below is a relaxed K2Cu2H5 crystal, with properties calculated at the PBE level.

Properties
DOS at the Fermi energy: 0.1983 states/eV/atom
calculated total energy: -27.859 eV/cell

a = 5.2471 Å, b = 5.2471 Å, c = 6.7159 Å
α = 99.39°, β = 99.39°, γ = 40.12°
Closest atoms and distances in Å follow each position.
Atoms (fractional coordinates):
K  0.0928  0.0928  0.3182  9 H 2.79-3.08, 1 Cu 3.09
K  0.9072  0.9072  0.6818  9 H 2.79-3.08, 1 Cu 3.09
Cu  0.3394  0.3394  0.0911  3 H 1.64-1.79
Cu  0.6606  0.6606  0.9089  3 H 1.64-1.79
H  0.1978  0.1978  0.9127  3 Cu 1.67-1.84
H  0.3799  0.3799  0.3379  1 Cu 1.64
H  0.5000  0.5000  0.0000  2 Cu 1.79
H  0.6201  0.6201  0.6621  1 Cu 1.64
H  0.8022  0.8022  0.0873  3 Cu 1.67-1.84